## RbPrSm (PBE)

Data for RbPrSm after structural relaxation.

Output
The electronic total energy comes out at -27.7 eV per cell.

Cell: 8.607 8.607 8.607 Å, 90.00 90.00 90.00°
Space group F-43m (No. 216)
Unique sites:
Rb1 0.000 0.000 0.000 (multiplicity 4)
Pr1 0.000 0.000 0.500 (multiplicity 4)
Sm1 0.250 0.250 0.750 (multiplicity 4)